[1]
This record from Alexandria via LeMat-Bulk describes crystalline TlNF2 at its relaxed geometry. The functional is PBE.

## Properties
Total DFT energy (no corrections)   -13.92 eV/cell
Excess energy over the best structure of this formula in the dataset   0.178 eV/atom
DOS(E_F)   0.358 states/eV per atom

abc: 4.259 4.259 4.259
angles: 60.00 60.00 60.00
Sites, in units of the cell vectors:
F: 0.750 0.750 0.750
F: 0.250 0.250 0.250
N: 0.000 0.000 0.000
Tl: 0.500 0.500 0.500

[2]
This record from Alexandria via LeMat-Bulk describes crystalline YMgCu at its relaxed geometry. The functional is PBE.

## Properties
Total DFT energy (no corrections)   -76.87 eV/cell
Formation energy from the elements   -219 meV/atom
Excess energy over the best structure of this formula in the dataset   0.000 eV/atom
DOS(E_F)   0.834 states/eV per atom

abc: 3.903 7.625 13.191
angles: 90.00 90.00 90.00
Sites, in units of the cell vectors:
Cu: 0.500 0.945 0.907
Cu: 0.500 0.055 0.407
Cu: 0.500 0.945 0.593
Cu: 0.500 0.055 0.093
Cu: 0.000 0.447 0.750
Cu: 0.000 0.553 0.250
Mg: 0.500 0.436 0.377
Mg: 0.500 0.202 0.750
Mg: 0.500 0.436 0.123
Mg: 0.500 0.798 0.250
Mg: 0.500 0.564 0.877
Mg: 0.500 0.564 0.623
Y: 0.000 0.226 0.956
Y: 0.000 0.226 0.544
Y: 0.000 0.774 0.456
Y: 0.000 0.850 0.750
Y: 0.000 0.774 0.044
Y: 0.000 0.150 0.250

[3]
This record from Alexandria via LeMat-Bulk describes crystalline CaHgBi4 at its relaxed geometry. The functional is PBE.

## Properties
Total DFT energy (no corrections)   -18.35 eV/cell
Formation energy from the elements   -87 meV/atom
Excess energy over the best structure of this formula in the dataset   0.120 eV/atom
DOS(E_F)   1.157 states/eV per atom

abc: 6.611 6.611 6.611
angles: 60.00 60.00 60.00
Sites, in units of the cell vectors:
Bi: 0.626 0.626 0.122
Bi: 0.122 0.626 0.626
Bi: 0.626 0.626 0.626
Bi: 0.626 0.122 0.626
Hg: 0.000 0.000 0.000
Ca: 0.250 0.250 0.250

[4]
This record from Alexandria via LeMat-Bulk describes crystalline K3Ac3VSe8 at its relaxed geometry. The functional is PBE.

## Properties
Total DFT energy (no corrections)   -74.73 eV/cell
DOS(E_F)   0.435 states/eV per atom

abc: 8.780 8.780 9.339
angles: 118.04 90.00 120.00
Sites, in units of the cell vectors:
Ac: 0.000 0.500 0.500
Ac: 0.500 0.000 0.500
Ac: 0.500 0.500 0.500
Se: 0.779 0.985 0.692
Se: 0.741 0.483 0.724
Se: 0.206 0.985 0.692
Se: 0.206 0.412 0.692
Se: 0.794 0.015 0.308
Se: 0.794 0.588 0.308
Se: 0.221 0.015 0.308
Se: 0.259 0.517 0.276
K: 0.000 0.000 0.000
K: 0.000 0.500 0.000
K: 0.500 0.500 0.000
V: 0.000 0.000 0.500